# 1
{"formula": "ZrCu2P", "functional": "PBE", "state": "optimized geometry", "lattice": [[3.652, 0.000, 0.000], [0.000, 3.652, 0.000], [1.826, 1.826, 9.694]], "species": ["P", "P", "Cu", "Cu", "Cu", "Cu", "Zr", "Zr"], "fractional_positions": [[0.500, 0.500, 0.000], [0.250, 0.750, 0.500], [0.607, 0.125, 0.250], [0.143, 0.625, 0.250], [0.375, 0.393, 0.750], [0.875, 0.857, 0.750], [0.000, 0.000, 0.000], [0.750, 0.250, 0.500]], "energy_ev_per_cell": -46.5, "rho_g_cm3": 6.40}

=====

# 2
{"formula": "BaAcO4", "functional": "PBE", "state": "optimized geometry", "lattice": [[-0.754, 4.210, 0.533], [-3.161, -2.811, 0.309], [2.136, -0.513, 7.064]], "species": ["Ba", "Ac", "O", "O", "O", "O"], "fractional_positions": [[0.445, 0.891, 0.473], [0.058, 0.116, 0.040], [0.683, 0.366, 0.826], [0.402, 0.803, 0.088], [0.093, 0.187, 0.361], [0.818, 0.636, 0.712]], "rho_g_cm3": 6.15, "raw_formation_energy_kj_per_mol_atoms": -219.0}

=====

# 3
{"formula": "Ho2ErSc3", "functional": "PBE", "state": "optimized geometry", "lattice": [[3.424, 0.000, 0.000], [0.000, 5.793, -1.283], [0.000, 1.596, 16.373]], "species": ["Ho", "Ho", "Ho", "Ho", "Er", "Er", "Sc", "Sc", "Sc", "Sc", "Sc", "Sc"], "fractional_positions": [[0.250, 0.750, 0.500], [0.750, 0.250, 0.500], [0.750, 0.028, 0.834], [0.250, 0.972, 0.166], [0.250, 0.528, 0.834], [0.750, 0.472, 0.166], [0.750, 0.639, 0.668], [0.250, 0.361, 0.332], [0.750, 0.861, 0.332], [0.250, 0.139, 0.668], [0.250, 0.251, 0.000], [0.750, 0.749, 0.000]], "energy_ev_per_cell": -64.8, "rho_g_cm3": 6.33}

=====

# 4
{"formula": "CsUVSe4", "functional": "PBE", "state": "optimized geometry", "lattice": [[-4.286, -5.050, 1.057], [3.451, -1.727, 5.745], [-3.450, 8.186, 4.533]], "species": ["Cs", "Cs", "U", "U", "V", "V", "Se", "Se", "Se", "Se", "Se", "Se", "Se", "Se"], "fractional_positions": [[0.742, 0.750, 0.941], [0.258, 0.250, 0.059], [0.778, 0.750, 0.452], [0.222, 0.250, 0.548], [0.226, 0.750, 0.342], [0.774, 0.250, 0.658], [0.021, 0.511, 0.695], [0.979, 0.011, 0.305], [0.979, 0.489, 0.305], [0.021, 0.989, 0.695], [0.433, 0.750, 0.190], [0.567, 0.250, 0.810], [0.445, 0.750, 0.578], [0.555, 0.250, 0.422]], "rho_g_cm3": 5.60, "raw_formation_energy_kj_per_mol_atoms": -97.9}

=====

# 5
{"formula": "Dy8Y6Ho", "functional": "PBE", "state": "optimized geometry", "lattice": [[-0.586, 2.118, 8.769], [-4.083, -5.653, 5.753], [4.425, -4.319, 5.999]], "species": ["Dy", "Dy", "Dy", "Dy", "Dy", "Dy", "Dy", "Dy", "Y", "Y", "Y", "Y", "Y", "Y", "Ho"], "fractional_positions": [[0.720, 0.110, 0.424], [0.890, 0.255, 0.576], [0.255, 0.280, 0.576], [0.576, 0.576, 0.271], [0.424, 0.424, 0.729], [0.745, 0.720, 0.424], [0.110, 0.745, 0.424], [0.280, 0.890, 0.576], [0.460, 0.894, 0.878], [0.106, 0.232, 0.122], [0.232, 0.540, 0.122], [0.768, 0.460, 0.878], [0.894, 0.768, 0.878], [0.540, 0.106, 0.122], [0.000, 0.000, 0.000]], "energy_ev_per_cell": -78.4, "rho_g_cm3": 6.84}

=====

# 6
{"formula": "VFeAu3", "functional": "PBE", "state": "optimized geometry", "lattice": [[-2.985, 3.367, -1.600], [-1.894, -3.135, -3.065], [-3.211, -1.281, 3.294]], "species": ["Au", "Au", "Au", "Fe", "V"], "fractional_positions": [[0.000, 0.500, 0.000], [0.000, 0.000, 0.500], [0.500, 0.000, 0.000], [0.000, 0.000, 0.000], [0.500, 0.500, 0.500]], "energy_ev_per_cell": -22.9, "rho_g_cm3": 10.64}

=====

Number 5 is which compound? Dy8Y6Ho